Entry 1:
First-principles (PBE) data for a relaxed Ac4NiHg2Ir crystal, as listed in Alexandria.

Properties
* VASP energy: -4.440 eV per atom

```
data_Ac4NiHg2Ir
_cell_length_a 7.444
_cell_length_b 4.313
_cell_length_c 8.640
_cell_angle_alpha 90.00
_cell_angle_beta 106.88
_cell_angle_gamma 90.00
_space_group_name_H-M_alt 'P 1 2/m 1'
_space_group_IT_number 10
_space_group_name_Hall '-P 2y'
loop_
_atom_site_label
_atom_site_type_symbol
_atom_site_fract_x
_atom_site_fract_y
_atom_site_fract_z
Ac1 Ac 0.233 0.000 0.202
Ac2 Ac 0.264 0.500 0.799
Ni1 Ni 0.500 0.000 0.000
Hg1 Hg 0.000 0.000 0.500
Hg2 Hg 0.500 0.500 0.500
Ir1 Ir 0.000 0.500 0.000
```

---

Entry 2:
First-principles (PBE) data for a relaxed Ac6NiHg3Ir2 crystal, as listed in Alexandria.

Properties
* VASP energy: -4.616 eV per atom

```
data_Ac6NiHg3Ir2
_cell_length_a 7.507
_cell_length_b 12.988
_cell_length_c 8.593
_cell_angle_alpha 90.00
_cell_angle_beta 106.90
_cell_angle_gamma 90.00
_space_group_name_H-M_alt 'C 1 2/m 1'
_space_group_IT_number 12
_space_group_name_Hall '-C 2y'
loop_
_atom_site_label
_atom_site_type_symbol
_atom_site_fract_x
_atom_site_fract_y
_atom_site_fract_z
Ac1 Ac 0.232 0.000 0.201
Ac2 Ac 0.234 0.332 0.200
Ni1 Ni 0.000 0.500 0.000
Hg1 Hg 0.000 0.000 0.500
Hg2 Hg 0.000 0.334 0.500
Ir1 Ir 0.000 0.167 0.000
```

---

Entry 3:
First-principles (PBE) data for a relaxed Ac6NiHgIr2 crystal, as listed in Alexandria.

Properties
* VASP energy: -5.277 eV per atom

```
data_Ac6NiHgIr2
_cell_length_a 7.7517
_cell_length_b 7.7517
_cell_length_c 20.7862
_cell_angle_alpha 90.00
_cell_angle_beta 90.00
_cell_angle_gamma 120.00
_space_group_name_H-M_alt 'R 3'
_space_group_IT_number 146
_space_group_name_Hall 'R 3'
loop_
_atom_site_label
_atom_site_type_symbol
_atom_site_fract_x
_atom_site_fract_y
_atom_site_fract_z
Ac1 Ac 0.0007 0.3431 0.0000
Ac2 Ac 0.0110 0.6116 0.5041
Ni1 Ni 0.0000 0.0000 0.9289
Hg1 Hg 0.0000 0.0000 0.4444
Ir1 Ir 0.0000 0.0000 0.2544
Ir2 Ir 0.0000 0.0000 0.7425
```

---

Entry 4:
First-principles (PBE) data for a relaxed Ac8NiHg4Ir3 crystal, as listed in Alexandria.

Properties
* VASP energy: -4.702 eV per atom

```
data_Ac8NiHg4Ir3
_cell_length_a 8.6930
_cell_length_b 8.6930
_cell_length_c 24.5764
_cell_angle_alpha 90.00
_cell_angle_beta 90.00
_cell_angle_gamma 120.00
_space_group_name_H-M_alt 'R -3 m'
_space_group_IT_number 166
_space_group_name_Hall '-R 3 2"'
loop_
_atom_site_label
_atom_site_type_symbol
_atom_site_fract_x
_atom_site_fract_y
_atom_site_fract_z
Ac1 Ac 0.0000 0.0000 0.2336
Ac2 Ac 0.0026 0.5013 0.7666
Ni1 Ni 0.0000 0.0000 0.5000
Hg1 Hg 0.0000 0.0000 0.0000
Hg2 Hg 0.0000 0.5000 0.0000
Ir1 Ir 0.0000 0.5000 0.5000
```

---

Entry 5:
First-principles (PBE) data for a relaxed Ac3HgIrO crystal, as listed in Alexandria.

Properties
* formation energy (no corrections): -1325 meV/atom
* VASP energy: -5.733 eV per atom

```
data_Ac3HgIrO
_cell_length_a 9.279
_cell_length_b 4.391
_cell_length_c 9.752
_cell_angle_alpha 90.00
_cell_angle_beta 102.68
_cell_angle_gamma 90.00
_space_group_name_H-M_alt 'P 1 21/m 1'
_space_group_IT_number 11
_space_group_name_Hall '-P 2yb'
loop_
_atom_site_label
_atom_site_type_symbol
_atom_site_fract_x
_atom_site_fract_y
_atom_site_fract_z
Ac1 Ac 0.055 0.250 0.340
Ac2 Ac 0.319 0.250 0.966
Ac3 Ac 0.378 0.750 0.647
Hg1 Hg 0.313 0.750 0.265
Ir1 Ir 0.164 0.250 0.652
O1 O 0.420 0.750 0.908
```

---

Entry 6:
First-principles (PBE) data for a relaxed Ac4HgIr3O12 crystal, as listed in Alexandria.

Properties
* formation energy (no corrections): -1885 meV/atom
* VASP energy: -7.026 eV per atom

```
data_Ac4HgIr3O12
_cell_length_a 8.873
_cell_length_b 8.873
_cell_length_c 8.873
_cell_angle_alpha 90.00
_cell_angle_beta 90.00
_cell_angle_gamma 90.00
_space_group_name_H-M_alt 'I m -3'
_space_group_IT_number 204
_space_group_name_Hall '-I 2 2 3'
loop_
_atom_site_label
_atom_site_type_symbol
_atom_site_fract_x
_atom_site_fract_y
_atom_site_fract_z
Ac1 Ac 0.250 0.250 0.250
Hg1 Hg 0.000 0.000 0.000
Ir1 Ir 0.000 0.000 0.500
O1 O 0.000 0.343 0.151
```

---

Calculated values (states/eV per atom) of DOS at the Fermi energy for the records, taken in order: 0.6622; 0.7442; 0.7990; 0.8455; 0.6332; 0.3483.